Record 1
# Pr2Zn4CuAu3

Pr2Zn4CuAu3 after structural relaxation (GGA-PBE, Alexandria).

The calculation puts the energy of formation from the pure elements at -0.45 eV/atom. The calculated total energy comes out at -3.31 eV/atom.

Cell lengths 4.1889, 4.1889, 11.5777 Å; angles 90.00, 90.00, 90.00 degrees
Space group P-4m2 (No. 115)
Asymmetric unit:
Pr: 0.0000 0.5000 0.2423 x2
Zn: 0.0000 0.0000 0.5000 x1
Zn: 0.0000 0.5000 0.8703 x2
Zn: 0.5000 0.5000 0.5000 x1
Cu: 0.5000 0.5000 0.0000 x1
Au: 0.0000 0.0000 0.0000 x1
Au: 0.0000 0.5000 0.6454 x2

***

Record 2
# La2As2Os

La2As2Os after structural relaxation (GGA-PBE, Alexandria).

The calculation puts the energy of formation from the pure elements at -0.75 eV/atom. The calculated total energy comes out at -6.83 eV/atom.

Cell lengths 6.7230, 6.7230, 4.8455 Å; angles 90.00, 90.00, 90.00 degrees
Space group P4/mbm (No. 127)
Asymmetric unit:
La: 0.1756 0.3244 0.0000 x4
As: 0.1421 0.6421 0.5000 x4
Os: 0.0000 0.0000 0.5000 x2

***

Record 3
# Pr4Dy8Th

Pr4Dy8Th after structural relaxation (GGA-PBE, Alexandria).

The calculation puts the energy of formation from the pure elements at 0.52 eV/atom. The calculated total energy comes out at -4.36 eV/atom.

Cell lengths 11.0893, 11.0893, 13.5410 Å; angles 90.00, 90.00, 120.00 degrees
Space group R-3m (No. 166, hexagonal axes)
Asymmetric unit:
Pr: 0.0000 0.0000 0.0000 x3
Pr: 0.0000 0.5000 0.0000 x9
Dy: 0.0000 0.0000 0.2409 x6
Dy: 0.0117 0.5058 0.7464 x18
Th: 0.0000 0.0000 0.5000 x3

***

Record 4
# PmSc4Si4

PmSc4Si4 after structural relaxation (GGA-PBE, Alexandria).

Its energy relative to the elements, uncorrected is -531.9 meV/atom. The calculated total energy comes out at -6.28 eV/atom.

Cell lengths 8.8219, 8.8219, 5.3409 Å; angles 90.00, 90.00, 90.00 degrees
Space group P4_2/n (No. 86, origin choice 2)
Asymmetric unit:
Pm: 0.2500 0.2500 0.2500 x2
Sc: 0.1098 0.6349 0.1309 x8
Si: 0.0574 0.5857 0.6422 x8

***

Record 5
# Mg3AlS

Mg3AlS after structural relaxation (GGA-PBE, Alexandria).

Its energy relative to the elements, uncorrected is 316.0 meV/atom. For the distance to the lowest polymorph of the same formula, the calculation gives 420 meV/atom. The calculated total energy comes out at -2.21 eV/atom.

Cell lengths 5.1144, 5.1144, 5.1144 Å; angles 90.00, 90.00, 90.00 degrees
Space group Pm-3m (No. 221)
Asymmetric unit:
Mg: 0.0000 0.0000 0.5000 x3
Al: 0.0000 0.0000 0.0000 x1
S: 0.5000 0.5000 0.5000 x1

***

Record 6
# BeCd2

BeCd2 after structural relaxation (GGA-PBE, Alexandria).

For the distance to the lowest polymorph of the same formula, the calculation gives 47 meV/atom. The calculation puts the energy of formation from the pure elements at 0.30 eV/atom. The calculated total energy comes out at -1.56 eV/atom.

Cell lengths 6.0814, 6.0814, 6.0814 Å; angles 90.00, 90.00, 90.00 degrees
Space group Fm-3m (No. 225)
Asymmetric unit:
Be: 0.0000 0.0000 0.0000 x4
Cd: 0.2500 0.2500 0.2500 x8